Here is crystalline Mn2Pt2O7 at its relaxed geometry from Alexandria via LeMat-Bulk. Energies are from PBE+U.

Lattice parameters (Å, degrees): 7.0365 7.0365 7.0365 60.00 60.00 60.00
Last column: nearest neighbours and their distance in Å.
Atoms (fractional coordinates):
1 Mn 0.6250 0.6250 0.6250  8 O 2.15-2.34
2 Mn 0.6250 0.6250 0.1250  8 O 2.15-2.34
3 Mn 0.6250 0.1250 0.6250  8 O 2.15-2.34
4 Mn 0.1250 0.6250 0.6250  8 O 2.15-2.34
5 Pt 0.6250 0.1250 0.1250  6 O 2.00
6 Pt 0.1250 0.6250 0.1250  6 O 2.00
7 Pt 0.1250 0.1250 0.6250  6 O 2.00
8 Pt 0.1250 0.1250 0.1250  6 O 2.00
9 O 0.2205 0.2205 0.7795  2 Pt 2.00
10 O 0.2205 0.7795 0.2205  2 Pt 2.00
11 O 0.4705 0.0295 0.4705  2 Pt 2.00
12 O 0.4705 0.4705 0.0295  2 Pt 2.00
13 O 0.7500 0.7500 0.7500  4 Mn 2.15
14 O 0.7795 0.2205 0.2205  2 Pt 2.00
15 O 0.4705 0.0295 0.0295  2 Pt 2.00
16 O 0.0295 0.4705 0.4705  2 Pt 2.00
17 O 0.0295 0.0295 0.4705  2 Pt 2.00
18 O 0.0295 0.4705 0.0295  2 Pt 2.00
19 O 0.2205 0.7795 0.7795  2 Pt 2.00
20 O 0.5000 0.5000 0.5000  4 Mn 2.15
21 O 0.7795 0.2205 0.7795  2 Pt 2.00
22 O 0.7795 0.7795 0.2205  2 Pt 2.00

Values from the calculation:
- total energy (eV/cell) = -144.78
- spin magnetization (Bohr magnetons per cell) = 15.973
- space-group type = Fd-3m (227)